1.
Density functional theory data (PBE) for an optimized crystal structure of KNaHg2Au.

```
data_KNaHg2Au
_cell_length_a 4.457
_cell_length_b 4.766
_cell_length_c 13.844
_cell_angle_alpha 90.00
_cell_angle_beta 90.00
_cell_angle_gamma 90.00
_space_group_name_H-M_alt 'I m m 2'
_space_group_IT_number 44
loop_
_space_group_symop_operation_xyz
'x,y,z'
'-x,-y,z'
'-x,y,z'
'x,-y,z'
'x+1/2,y+1/2,z+1/2'
'-x+1/2,-y+1/2,z+1/2'
'-x+1/2,y+1/2,z+1/2'
'x+1/2,-y+1/2,z+1/2'
loop_
_atom_site_label
_atom_site_fract_x
_atom_site_fract_y
_atom_site_fract_z
K1 0.000 0.000 0.000
Na1 0.000 0.500 0.767
Hg1 0.000 0.000 0.617
Hg2 0.000 0.500 0.281
Au1 0.000 0.000 0.411
```

Output
**Total DFT energy (no corrections)**: -1.523 eV per atom
**Energy of formation from the pure elements**: -0.264 eV/atom
**ΔE to the lowest computed polymorph**: 0.00 eV/f.u.
**Total magnetic moment**: 0.0 μB per formula unit
**D(E_F)**: 5.50 states/eV per cell

***

2.
Density functional theory data (PBE) for an optimized crystal structure of KNa2Hg2Au2.

```
data_KNa2Hg2Au2
_cell_length_a 4.9623
_cell_length_b 4.9623
_cell_length_c 27.3424
_cell_angle_alpha 90.00
_cell_angle_beta 90.00
_cell_angle_gamma 120.00
_space_group_name_H-M_alt 'R -3 m'
_space_group_IT_number 166
_space_group_name_Hall '-R 3 2"'
loop_
_atom_site_label
_atom_site_fract_x
_atom_site_fract_y
_atom_site_fract_z
K1 0.0000 0.0000 0.0000
Na1 0.0000 0.0000 0.1335
Hg1 0.0000 0.0000 0.2516
Au1 0.0000 0.0000 0.4237
```

Output
**Total DFT energy (no corrections)**: -1.807 eV per atom
**Energy of formation from the pure elements**: -0.250 eV/atom
**Total magnetic moment**: 0.0 μB per formula unit
**D(E_F)**: 5.16 states/eV per cell

***

3.
Density functional theory data (PBE) for an optimized crystal structure of K6Na2HgAu.

```
data_K6Na2HgAu
_cell_length_a 13.170
_cell_length_b 13.197
_cell_length_c 9.302
_cell_angle_alpha 90.00
_cell_angle_beta 134.82
_cell_angle_gamma 90.00
_space_group_name_H-M_alt 'C 1 m 1'
_space_group_IT_number 8
loop_
_space_group_symop_operation_xyz
'x,y,z'
'x,-y,z'
'x+1/2,y+1/2,z'
'x+1/2,-y+1/2,z'
loop_
_atom_site_label
_atom_site_fract_x
_atom_site_fract_y
_atom_site_fract_z
K1 0.000 0.000 0.000
K2 0.002 0.000 0.492
K3 0.012 0.500 0.001
K4 0.014 0.500 0.515
K5 0.257 0.256 0.000
Na1 0.257 0.249 0.500
Hg1 0.258 0.000 0.004
Au1 0.257 0.500 0.004
```

Output
**Total DFT energy (no corrections)**: -1.335 eV per atom
**Energy of formation from the pure elements**: -0.055 eV/atom
**Total magnetic moment**: 0.0 μB per formula unit
**D(E_F)**: 18.04 states/eV per cell

***

4.
Density functional theory data (PBE) for an optimized crystal structure of KNaHgAu2.

```
data_KNaHgAu2
_cell_length_a 4.502
_cell_length_b 4.613
_cell_length_c 13.084
_cell_angle_alpha 90.00
_cell_angle_beta 90.00
_cell_angle_gamma 90.00
_space_group_name_H-M_alt 'I m m 2'
_space_group_IT_number 44
loop_
_space_group_symop_operation_xyz
'x,y,z'
'-x,-y,z'
'-x,y,z'
'x,-y,z'
'x+1/2,y+1/2,z+1/2'
'-x+1/2,-y+1/2,z+1/2'
'-x+1/2,y+1/2,z+1/2'
'x+1/2,-y+1/2,z+1/2'
loop_
_atom_site_label
_atom_site_fract_x
_atom_site_fract_y
_atom_site_fract_z
K1 0.000 0.000 0.000
Na1 0.000 0.500 0.771
Hg1 0.000 0.000 0.624
Au1 0.000 0.000 0.408
Au2 0.000 0.500 0.273
```

Output
**Total DFT energy (no corrections)**: -2.133 eV per atom
**Energy of formation from the pure elements**: -0.278 eV/atom
**Total magnetic moment**: 0.0 μB per formula unit
**D(E_F)**: 1.91 states/eV per cell

***

5.
Density functional theory data (PBE) for an optimized crystal structure of K2NaHg3Au4.

```
data_K2NaHg3Au4
_cell_length_a 4.811
_cell_length_b 4.811
_cell_length_c 11.965
_cell_angle_alpha 90.00
_cell_angle_beta 90.00
_cell_angle_gamma 90.00
_space_group_name_H-M_alt 'P -4 m 2'
_space_group_IT_number 115
loop_
_space_group_symop_operation_xyz
'x,y,z'
'y,-x,-z'
'-x,-y,z'
'-y,x,-z'
'-x,y,z'
'-y,-x,-z'
'x,-y,z'
'y,x,-z'
loop_
_atom_site_label
_atom_site_fract_x
_atom_site_fract_y
_atom_site_fract_z
K1 0.000 0.500 0.231
Na1 0.000 0.000 0.500
Hg1 0.000 0.500 0.872
Hg2 0.500 0.500 0.500
Au1 0.000 0.000 0.000
Au2 0.000 0.500 0.639
Au3 0.500 0.500 0.000
```

Output
**Total DFT energy (no corrections)**: -1.973 eV per atom
**Energy of formation from the pure elements**: -0.220 eV/atom
**Total magnetic moment**: 0.0 μB per formula unit
**D(E_F)**: 2.95 states/eV per cell

***

6.
Density functional theory data (PBE) for an optimized crystal structure of KNaHg2Au.

```
data_KNaHg2Au
_cell_length_a 5.482
_cell_length_b 5.482
_cell_length_c 6.040
_cell_angle_alpha 90.00
_cell_angle_beta 90.00
_cell_angle_gamma 90.00
_space_group_name_H-M_alt 'P 4/m m m'
_space_group_IT_number 123
_space_group_name_Hall '-P 4 2'
loop_
_atom_site_label
_atom_site_fract_x
_atom_site_fract_y
_atom_site_fract_z
K1 0.000 0.000 0.000
Na1 0.500 0.500 0.000
Hg1 0.000 0.500 0.500
Au1 0.000 0.000 0.500
```

Output
**Total DFT energy (no corrections)**: -1.343 eV per atom
**Energy of formation from the pure elements**: -0.084 eV/atom
**ΔE to the lowest computed polymorph**: 0.90 eV/f.u.
**Total magnetic moment**: 0.0 μB per formula unit
**D(E_F)**: 1.45 states/eV per cell

***

7.
Density functional theory data (PBE) for an optimized crystal structure of K6HgAu2O.

```
data_K6HgAu2O
_cell_length_a 8.480
_cell_length_b 10.054
_cell_length_c 9.234
_cell_angle_alpha 90.00
_cell_angle_beta 114.20
_cell_angle_gamma 90.00
_space_group_name_H-M_alt 'P 1 21/c 1'
_space_group_IT_number 14
loop_
_space_group_symop_operation_xyz
'x,y,z'
'-x,-y,-z'
'-x,y+1/2,-z+1/2'
'x,-y+1/2,z+1/2'
loop_
_atom_site_label
_atom_site_fract_x
_atom_site_fract_y
_atom_site_fract_z
K1 0.051 0.001 0.292
K2 0.274 0.672 0.563
K3 0.275 0.171 0.063
Hg1 0.500 0.000 0.500
Au1 0.340 0.001 0.724
O1 0.000 0.000 0.000
```

Output
**Total DFT energy (no corrections)**: -2.323 eV per atom
**Total magnetic moment**: 0.0 μB per formula unit
**D(E_F)**: 8.21 states/eV per cell

***

8.
Density functional theory data (PBE) for an optimized crystal structure of K8Hg2AuO.

```
data_K8Hg2AuO
_cell_length_a 7.494
_cell_length_b 8.088
_cell_length_c 8.994
_cell_angle_alpha 94.19
_cell_angle_beta 98.21
_cell_angle_gamma 92.66
_space_group_name_H-M_alt 'P -1'
_space_group_IT_number 2
loop_
_space_group_symop_operation_xyz
'x,y,z'
'-x,-y,-z'
loop_
_atom_site_label
_atom_site_fract_x
_atom_site_fract_y
_atom_site_fract_z
K1 0.140 0.222 0.432
K2 0.215 0.661 0.329
K3 0.251 0.576 0.736
K4 0.259 0.140 0.983
Hg1 0.450 0.972 0.651
Au1 0.000 0.500 0.000
O1 0.000 0.500 0.500
```

Output
**Total DFT energy (no corrections)**: -1.855 eV per atom
**Total magnetic moment**: 0.0 μB per formula unit
**D(E_F)**: 5.72 states/eV per cell

***

9.
Density functional theory data (PBE) for an optimized crystal structure of K5HgAuO2.

```
data_K5HgAuO2
_cell_length_a 5.461
_cell_length_b 5.461
_cell_length_c 9.693
_cell_angle_alpha 90.00
_cell_angle_beta 90.00
_cell_angle_gamma 90.00
_space_group_name_H-M_alt 'P 4/m m m'
_space_group_IT_number 123
_space_group_name_Hall '-P 4 2'
loop_
_atom_site_label
_atom_site_fract_x
_atom_site_fract_y
_atom_site_fract_z
K1 0.000 0.000 0.000
K2 0.000 0.500 0.266
Hg1 0.000 0.000 0.500
Au1 0.500 0.500 0.000
O1 0.000 0.000 0.275
```

Output
**Total DFT energy (no corrections)**: -2.785 eV per atom
**Total magnetic moment**: 0.0 μB per formula unit
**D(E_F)**: 2.42 states/eV per cell

***

10.
Density functional theory data (PBE) for an optimized crystal structure of K6HgAuO.

```
data_K6HgAuO
_cell_length_a 9.975
_cell_length_b 10.244
_cell_length_c 14.203
_cell_angle_alpha 90.00
_cell_angle_beta 90.00
_cell_angle_gamma 90.00
_space_group_name_H-M_alt 'I m m a'
_space_group_IT_number 74
_space_group_name_Hall '-I 2b 2'
loop_
_atom_site_label
_atom_site_fract_x
_atom_site_fract_y
_atom_site_fract_z
K1 0.000 0.250 0.069
K2 0.000 0.250 0.413
K3 0.187 0.046 0.875
Hg1 0.000 0.250 0.686
Au1 0.250 0.250 0.250
O1 0.000 0.000 0.000
```

Output
**Total DFT energy (no corrections)**: -2.133 eV per atom
**Total magnetic moment**: 0.0 μB per formula unit
**D(E_F)**: 23.10 states/eV per cell